Computed, not measured: crystalline TmBe4Ir at its relaxed geometry at the GGA-PBE level of DFT.

Structure (extended XYZ):
```
6
Lattice="-0.2540 1.7475 -4.2798 -1.4258 -2.6645 -3.5075 -4.1303 0.7556 -1.9506" Properties=species:S:1:pos:R:3 pbc="T T T"
Be -1.5390 -0.4868 -5.1158
Be -2.9187 1.2580 -4.3215
Be -3.6461 -0.1013 -6.1109
Be -3.5165 -0.9928 -3.9275
Ir 0.0000 0.0000 0.0000
Tm -1.4525 -0.0404 -2.4345
```

Energy relative to the elements ... -0.45 eV per atom
Raw total energy ... -5.154 eV per atom
Space group ... F-43m, No. 216

=====

Computed, not measured: crystalline Pm4AlAu3 at its relaxed geometry at the GGA-PBE level of DFT.

Structure (extended XYZ):
```
8
Lattice="3.8374 0.0000 0.0000 0.0000 4.7141 0.0000 0.0000 0.0000 11.5137" Properties=species:S:1:pos:R:3 pbc="T T T"
Pm 1.9187 2.3571 4.1412
Pm 0.0000 2.3571 9.8407
Pm 0.0000 0.0000 1.6919
Pm 1.9187 0.0000 7.3554
Al 1.9187 2.3571 0.8594
Au 0.0000 2.3571 6.7291
Au 0.0000 0.0000 4.8173
Au 1.9187 0.0000 10.6196
```

Energy relative to the elements ... -0.68 eV per atom
Raw total energy ... -4.752 eV per atom
Space group ... Pmm2, No. 25

=====

Computed, not measured: crystalline La6NiSn2 at its relaxed geometry at the GGA-PBE level of DFT.

Structure (extended XYZ):
```
9
Lattice="4.4359 0.0000 0.0000 0.0000 8.5320 0.0000 0.0000 -4.2660 7.3903" Properties=species:S:1:pos:R:3 pbc="T T T"
La 2.2180 4.9201 0.0000
La 2.2180 1.8061 3.1284
La 2.2180 -2.4599 4.2619
La 0.0000 1.9383 0.0000
La 0.0000 3.2967 5.7118
La 0.0000 7.5627 1.6786
Ni 2.2180 0.0003 0.0000
Sn 0.0000 0.0000 4.9272
Sn 0.0000 4.2660 2.4631
```

Energy relative to the elements ... -0.49 eV per atom
Raw total energy ... -5.305 eV per atom
Space group ... P-62m, No. 189
Energy above the most stable polymorph in this dataset ... 0.0000 eV per atom